1.
VASP calculation (PBE) on a relaxed Th5Sb2H crystal.

Geometry as POSCAR:
```
Th5Sb2H
1.0
7.2501 0.0022 0.0021
0.0023 7.2504 0.0020
-3.6248 -3.6249 4.3078
H Th Sb
1 5 2
Cartesian
-0.0002 -0.0002 0.2234 H
5.4458 5.4459 0.0160 Th
1.8096 5.4442 0.0142 Th
1.8058 1.8058 0.0156 Th
3.6266 3.6267 2.1132 Th
5.4441 1.8096 0.0143 Th
0.0015 3.6265 2.1566 Sb
3.6264 0.0014 2.1567 Sb
```

## Properties
SG: I4mm, No. 107
Volume, Å³/cell: 227
Energy, eV/cell: -51.51



2.
VASP calculation (PBE) on a relaxed LiBeIn2 crystal.

Geometry as POSCAR:
```
LiBeIn2
1.0
4.4255 0.0000 0.0000
0.0000 3.4148 0.0557
0.0000 -0.6590 4.8711
Be Li In
1 1 2
Cartesian
2.2128 1.8109 3.8565 Be
0.0000 1.7380 2.2446 Li
2.2128 0.0634 1.6825 In
0.0000 -0.1376 4.4777 In
```

## Properties
SG: Pm, No. 6
Volume, Å³/cell: 74
Energy, eV/cell: -10.50
Energy relative to the elements, meV per atom: 155



3.
VASP calculation (PBE) on a relaxed Li2HfFeSn crystal.

Geometry as POSCAR:
```
Li2HfFeSn
1.0
4.5788 0.0000 0.0000
0.0000 4.5788 0.0000
0.0000 0.0000 4.6326
Hf Li Sn Fe
1 2 1 1
Cartesian
0.0000 0.0000 2.3163 Hf
0.0000 2.2894 0.0000 Li
2.2894 0.0000 0.0000 Li
2.2894 2.2894 2.3163 Sn
0.0000 0.0000 0.0000 Fe
```

## Properties
SG: P4/mmm, No. 123
Volume, Å³/cell: 97
Energy, eV/cell: -24.23
Energy relative to the elements, meV per atom: 404



4.
VASP calculation (PBE) on a relaxed Na2DyCl5 crystal.

Geometry as POSCAR:
```
Na2DyCl5
1.0
-5.1481 -0.9667 0.8305
4.1686 -3.0796 5.3215
-0.9610 11.4628 7.3864
Cl Na Dy
10 4 2
Cartesian
-2.8103 8.4661 9.3684 Cl
-2.5143 4.9347 7.0927 Cl
0.5738 2.4817 6.4456 Cl
0.1800 6.5844 8.7804 Cl
0.0254 1.0747 1.4082 Cl
-1.7188 3.3946 10.2311 Cl
-0.2217 4.0218 3.3073 Cl
-1.9659 6.3418 12.1301 Cl
-2.1205 0.8320 4.7580 Cl
0.8698 -1.0497 4.1700 Cl
-0.0707 5.3284 5.7645 Na
-1.4951 -2.3815 4.8938 Na
-0.4454 9.7979 8.6445 Na
-1.8698 2.0880 7.7739 Na
-2.2779 5.8416 9.6134 Dy
0.3374 1.5749 3.9250 Dy
```

## Properties
Energy relative to the elements, uncorrected, eV/atom: -2.0332
SG: Cmcm, No. 63
Volume, Å³/cell: 503
Energy, eV/cell: -65.48
E above lowest polymorph, eV per atom: 0.0000



5.
VASP calculation (PBE) on a relaxed Mg2B2W crystal.

Geometry as POSCAR:
```
Mg2B2W
1.0
-0.4762 -2.8993 5.0250
1.1856 -4.9841 -2.7634
3.6713 0.5155 0.6454
B W Mg
4 2 4
Cartesian
0.2946 -5.6146 2.8094 B
0.8716 -5.5897 -0.4930 B
-0.1621 -2.2937 2.7546 B
0.4149 -2.2688 -0.5478 B
0.0000 0.0000 0.0000 W
0.3547 -3.9417 1.1308 W
2.4774 -5.7923 1.5051 Mg
2.5591 -3.6850 -0.6428 Mg
1.8218 -3.6828 3.5498 Mg
1.9034 -1.5755 1.4019 Mg
```

## Properties
SG: P4/mbm, No. 127
Volume, Å³/cell: 128
Energy, eV/cell: -55.15
E above lowest polymorph, eV per atom: 0.0000
Energy relative to the elements, meV per atom: 385



6.
VASP calculation (PBE) on a relaxed NaHf2FeIr crystal.

Geometry as POSCAR:
```
NaHf2FeIr
1.0
4.7773 0.0000 0.0000
0.0000 4.3615 0.0000
0.0000 0.0000 4.7773
Hf Fe Na Ir
2 1 1 1
Cartesian
2.3886 0.0000 0.0000 Hf
0.0000 0.0000 2.3886 Hf
2.3886 2.1807 2.3886 Fe
0.0000 0.0000 0.0000 Na
0.0000 2.1807 0.0000 Ir
```

## Properties
SG: P4/mmm, No. 123
Volume, Å³/cell: 100
Energy, eV/cell: -28.56
Energy relative to the elements, meV per atom: 1999



Which of these has the lowest energy? Na2DyCl5



Which value of volume does entry 3 give? 97 Å³/cell